First-principles (GGA-PBE) data for a relaxed CaCuTe2 crystal, as listed in Alexandria.

```
16
Lattice="7.462 0.000 0.000 0.000 7.462 0.000 0.000 0.000 7.462" Properties=species:S:1:pos:R:3 pbc="T T T"
Ca 0.000 0.000 0.000
Ca 0.000 3.731 3.731
Ca 3.731 0.000 3.731
Ca 3.731 3.731 0.000
Cu 1.866 1.866 1.866
Cu 1.866 5.597 5.597
Cu 5.597 1.866 5.597
Cu 5.597 5.597 1.866
Te 0.000 0.000 3.731
Te 0.000 3.731 0.000
Te 1.866 1.866 5.597
Te 1.866 5.597 1.866
Te 3.731 0.000 0.000
Te 3.731 3.731 3.731
Te 5.597 1.866 1.866
Te 5.597 5.597 5.597
```

Output
- Final energy: -0.11882 Ha/atom
- D(E_F): 8.33 states/eV/cell
- Formation energy without anion corrections: -138 meV/atom